VASP calculation (PBE+U) on an optimized crystal structure of BaSr2NiF8.

Computed properties:
crystal system = monoclinic
E = -5.2977 eV/atom

abc: 4.3557 5.6497 7.9501
angles: 90.00 90.00 96.24
With the nearest neighbours (Å) after each atom.
Sites, in units of the cell vectors:
F1 0.6010 0.7816 0.0000  1 Ni 2.02
F2 0.0559 0.7617 0.2096  1 Ni 2.17
F3 0.3990 0.2184 0.0000  1 Ni 2.02
Ni1 0.0000 0.0000 0.0000  6 F 2.02-2.17
F4 0.9441 0.2383 0.2096  1 Ni 2.17
F5 0.5218 0.2678 0.5000  2 Sr 2.53, 2 Ba 2.59-2.70, 1 F 2.65
F6 0.4782 0.7322 0.5000  2 Sr 2.53, 2 Ba 2.59-2.70, 1 F 2.65
F7 0.9441 0.2383 0.7904  1 Ni 2.17
Sr1 0.5000 0.5000 0.2295  8 F 2.43-2.70
Sr2 0.5000 0.5000 0.7705  8 F 2.43-2.70
Ba1 0.0000 0.0000 0.5000  8 F 2.59-2.70
F8 0.0559 0.7617 0.7904  1 Ni 2.17